Version one
Entry from Alexandria via LeMat-Bulk: ErCuH after structural relaxation (PBE).

Results
**Magnetization**: 0.000 μB/atom

Geometry as CIF:
```
data_ErCuH
_space_group_name_H-M_alt 'C m c m'
_space_group_IT_number 63
_space_group_name_Hall '-C 2c 2'
_cell_length_a 3.716
_cell_length_b 11.986
_cell_length_c 3.893
_cell_angle_alpha 90.00
_cell_angle_beta 90.00
_cell_angle_gamma 90.00
loop_
_atom_site_label
_atom_site_type_symbol
_atom_site_fract_x
_atom_site_fract_y
_atom_site_fract_z
_atom_site_occupancy
Er1 Er 0.000 0.152 0.250 1
Cu1 Cu 0.000 0.443 0.250 1
H1 H 0.000 0.247 0.750 1
```

---

Version two
Entry from Alexandria via LeMat-Bulk: ErCuH after structural relaxation (PBE).

Results
**Magnetization**: 0.000 μB/atom

Geometry as CIF:
```
data_ErCuH
_space_group_name_H-M_alt 'I 4 m m'
_space_group_IT_number 107
_space_group_name_Hall 'I 4 -2'
_cell_length_a 3.418
_cell_length_b 3.418
_cell_length_c 8.366
_cell_angle_alpha 90.00
_cell_angle_beta 90.00
_cell_angle_gamma 90.00
loop_
_atom_site_label
_atom_site_type_symbol
_atom_site_fract_x
_atom_site_fract_y
_atom_site_fract_z
_atom_site_occupancy
Er1 Er 0.000 0.000 0.000 1
Cu1 Cu 0.000 0.000 0.327 1
H1 H 0.000 0.000 0.532 1
```

---

version one wins, 37.3 kJ/mol of atoms ahead of the next structure.

---

Version one
Entry from Alexandria via LeMat-Bulk: ErHfCu4 after structural relaxation (PBE).

Results
**Magnetization**: 0.000 μB/atom

Geometry as CIF:
```
data_ErHfCu4
_space_group_name_H-M_alt 'F -4 3 m'
_space_group_IT_number 216
_space_group_name_Hall 'F -4 2 3'
_cell_length_a 7.241
_cell_length_b 7.241
_cell_length_c 7.241
_cell_angle_alpha 90.00
_cell_angle_beta 90.00
_cell_angle_gamma 90.00
loop_
_atom_site_label
_atom_site_type_symbol
_atom_site_fract_x
_atom_site_fract_y
_atom_site_fract_z
_atom_site_occupancy
Er1 Er 0.000 0.000 0.000 1
Hf1 Hf 0.250 0.250 0.250 1
Cu1 Cu 0.124 0.124 0.624 1
```

---

Version two
Entry from Alexandria via LeMat-Bulk: ErHfCu4 after structural relaxation (PBE).

Results
**Magnetization**: 0.000 μB/atom

Geometry as CIF:
```
data_ErHfCu4
_space_group_name_H-M_alt 'P m m m'
_space_group_IT_number 47
_space_group_name_Hall '-P 2 2'
_cell_length_a 3.145
_cell_length_b 4.271
_cell_length_c 7.350
_cell_angle_alpha 90.00
_cell_angle_beta 90.00
_cell_angle_gamma 90.00
loop_
_atom_site_label
_atom_site_type_symbol
_atom_site_fract_x
_atom_site_fract_y
_atom_site_fract_z
_atom_site_occupancy
Er1 Er 0.000 0.000 0.000 1
Hf1 Hf 0.000 0.500 0.500 1
Cu1 Cu 0.500 0.000 0.338 1
Cu2 Cu 0.500 0.500 0.173 1
```

---

version two wins, 8.7 kJ/mol of atoms ahead of the next structure.

---

Version one
Entry from Alexandria via LeMat-Bulk: ErHfCu2 after structural relaxation (PBE).

Results
**Magnetization**: 0.002 μB/atom

Geometry as CIF:
```
data_ErHfCu2
_space_group_name_H-M_alt 'P 4/m m m'
_space_group_IT_number 123
_space_group_name_Hall '-P 4 2'
_cell_length_a 3.343
_cell_length_b 3.343
_cell_length_c 6.674
_cell_angle_alpha 90.00
_cell_angle_beta 90.00
_cell_angle_gamma 90.00
loop_
_atom_site_label
_atom_site_type_symbol
_atom_site_fract_x
_atom_site_fract_y
_atom_site_fract_z
_atom_site_occupancy
Er1 Er 0.000 0.000 0.000 1
Hf1 Hf 0.000 0.000 0.500 1
Cu1 Cu 0.500 0.500 0.284 1
```

---

Version two
Entry from Alexandria via LeMat-Bulk: ErHfCu2 after structural relaxation (PBE).

Results
**Magnetization**: 0.000 μB/atom

Geometry as CIF:
```
data_ErHfCu2
_space_group_name_H-M_alt 'F m -3 m'
_space_group_IT_number 225
_space_group_name_Hall '-F 4 2 3'
_cell_length_a 6.662
_cell_length_b 6.662
_cell_length_c 6.662
_cell_angle_alpha 90.00
_cell_angle_beta 90.00
_cell_angle_gamma 90.00
loop_
_atom_site_label
_atom_site_type_symbol
_atom_site_fract_x
_atom_site_fract_y
_atom_site_fract_z
_atom_site_occupancy
Er1 Er 0.000 0.000 0.000 1
Hf1 Hf 0.000 0.000 0.500 1
Cu1 Cu 0.250 0.250 0.250 1
```

---

version one wins, 4.5 kJ/mol of atoms ahead of the next structure.

---

Version one
Entry from Alexandria via LeMat-Bulk: HoErCuHg after structural relaxation (PBE).

Results
**Magnetization**: 0.000 μB/atom

Geometry as CIF:
```
data_HoErCuHg
_space_group_name_H-M_alt 'P 4 m m'
_space_group_IT_number 99
_space_group_name_Hall 'P 4 -2'
_cell_length_a 3.513
_cell_length_b 3.513
_cell_length_c 7.422
_cell_angle_alpha 90.00
_cell_angle_beta 90.00
_cell_angle_gamma 90.00
loop_
_atom_site_label
_atom_site_type_symbol
_atom_site_fract_x
_atom_site_fract_y
_atom_site_fract_z
_atom_site_occupancy
Ho1 Ho 0.000 0.000 0.000 1
Er1 Er 0.000 0.000 0.548 1
Cu1 Cu 0.500 0.500 0.771 1
Hg1 Hg 0.500 0.500 0.275 1
```

---

Version two
Entry from Alexandria via LeMat-Bulk: HoErCuHg after structural relaxation (PBE).

Results
**Magnetization**: 0.000 μB/atom

Geometry as CIF:
```
data_HoErCuHg
_space_group_name_H-M_alt 'F -4 3 m'
_space_group_IT_number 216
_space_group_name_Hall 'F -4 2 3'
_cell_length_a 7.174
_cell_length_b 7.174
_cell_length_c 7.174
_cell_angle_alpha 90.00
_cell_angle_beta 90.00
_cell_angle_gamma 90.00
loop_
_atom_site_label
_atom_site_type_symbol
_atom_site_fract_x
_atom_site_fract_y
_atom_site_fract_z
_atom_site_occupancy
Ho1 Ho 0.000 0.000 0.000 1
Er1 Er 0.000 0.000 0.500 1
Cu1 Cu 0.250 0.250 0.250 1
Hg1 Hg 0.250 0.250 0.750 1
```

---

version one wins, 2.5 kJ/mol of atoms ahead of the next structure.

---

Version one
Entry from Alexandria via LeMat-Bulk: ErTmCuHg after structural relaxation (PBE).

Results
**Magnetization**: 0.000 μB/atom

Geometry as CIF:
```
data_ErTmCuHg
_space_group_name_H-M_alt 'P 4 m m'
_space_group_IT_number 99
_space_group_name_Hall 'P 4 -2'
_cell_length_a 3.491
_cell_length_b 3.491
_cell_length_c 7.417
_cell_angle_alpha 90.00
_cell_angle_beta 90.00
_cell_angle_gamma 90.00
loop_
_atom_site_label
_atom_site_type_symbol
_atom_site_fract_x
_atom_site_fract_y
_atom_site_fract_z
_atom_site_occupancy
Er1 Er 0.000 0.000 0.000 1
Tm1 Tm 0.000 0.000 0.548 1
Cu1 Cu 0.500 0.500 0.771 1
Hg1 Hg 0.500 0.500 0.276 1
```

---

Version two
Entry from Alexandria via LeMat-Bulk: ErTmCuHg after structural relaxation (PBE).

Results
**Magnetization**: 0.000 μB/atom

Geometry as CIF:
```
data_ErTmCuHg
_space_group_name_H-M_alt 'F -4 3 m'
_space_group_IT_number 216
_space_group_name_Hall 'F -4 2 3'
_cell_length_a 7.142
_cell_length_b 7.142
_cell_length_c 7.142
_cell_angle_alpha 90.00
_cell_angle_beta 90.00
_cell_angle_gamma 90.00
loop_
_atom_site_label
_atom_site_type_symbol
_atom_site_fract_x
_atom_site_fract_y
_atom_site_fract_z
_atom_site_occupancy
Er1 Er 0.000 0.000 0.000 1
Tm1 Tm 0.000 0.000 0.500 1
Cu1 Cu 0.250 0.250 0.250 1
Hg1 Hg 0.250 0.250 0.750 1
```

---

version one wins, 2.7 kJ/mol of atoms ahead of the next structure.

---

Version one
Entry from Alexandria via LeMat-Bulk: YErCuHg after structural relaxation (PBE).

Results
**Magnetization**: 0.000 μB/atom

Geometry as CIF:
```
data_YErCuHg
_space_group_name_H-M_alt 'F -4 3 m'
_space_group_IT_number 216
_space_group_name_Hall 'F -4 2 3'
_cell_length_a 7.200
_cell_length_b 7.200
_cell_length_c 7.200
_cell_angle_alpha 90.00
_cell_angle_beta 90.00
_cell_angle_gamma 90.00
loop_
_atom_site_label
_atom_site_type_symbol
_atom_site_fract_x
_atom_site_fract_y
_atom_site_fract_z
_atom_site_occupancy
Y1 Y 0.000 0.000 0.000 1
Er1 Er 0.000 0.000 0.500 1
Cu1 Cu 0.250 0.250 0.250 1
Hg1 Hg 0.250 0.250 0.750 1
```

---

Version two
Entry from Alexandria via LeMat-Bulk: YErCuHg after structural relaxation (PBE).

Results
**Magnetization**: 0.000 μB/atom

Geometry as CIF:
```
data_YErCuHg
_space_group_name_H-M_alt 'P 4 m m'
_space_group_IT_number 99
_space_group_name_Hall 'P 4 -2'
_cell_length_a 3.528
_cell_length_b 3.528
_cell_length_c 7.442
_cell_angle_alpha 90.00
_cell_angle_beta 90.00
_cell_angle_gamma 90.00
loop_
_atom_site_label
_atom_site_type_symbol
_atom_site_fract_x
_atom_site_fract_y
_atom_site_fract_z
_atom_site_occupancy
Y1 Y 0.000 0.000 0.000 1
Er1 Er 0.000 0.000 0.454 1
Cu1 Cu 0.500 0.500 0.236 1
Hg1 Hg 0.500 0.500 0.722 1
```

---

version two wins, 2.5 kJ/mol of atoms ahead of the next structure.

---

Version one
Entry from Alexandria via LeMat-Bulk: HoEr3Cu2 after structural relaxation (PBE).

Results
**Magnetization**: 0.000 μB/atom

Geometry as CIF:
```
data_HoEr3Cu2
_space_group_name_H-M_alt 'P m c 21'
_space_group_IT_number 26
_space_group_name_Hall 'P 2c -2'
_cell_length_a 4.863
_cell_length_b 8.625
_cell_length_c 6.831
_cell_angle_alpha 90.00
_cell_angle_beta 90.00
_cell_angle_gamma 90.00
loop_
_atom_site_label
_atom_site_type_symbol
_atom_site_fract_x
_atom_site_fract_y
_atom_site_fract_z
_atom_site_occupancy
Ho1 Ho 0.000 0.075 0.000 1
Er1 Er 0.000 0.334 0.629 1
Er2 Er 0.500 0.167 0.341 1
Er3 Er 0.500 0.425 0.969 1
Cu1 Cu 0.000 0.350 0.225 1
Cu2 Cu 0.500 0.151 0.744 1
```

---

Version two
Entry from Alexandria via LeMat-Bulk: HoEr3Cu2 after structural relaxation (PBE).

Results
**Magnetization**: 0.000 μB/atom

Geometry as CIF:
```
data_HoEr3Cu2
_space_group_name_H-M_alt 'I b a m'
_space_group_IT_number 72
_space_group_name_Hall '-I 2 2c'
_cell_length_a 6.730
_cell_length_b 13.316
_cell_length_c 7.095
_cell_angle_alpha 90.00
_cell_angle_beta 90.00
_cell_angle_gamma 90.00
loop_
_atom_site_label
_atom_site_type_symbol
_atom_site_fract_x
_atom_site_fract_y
_atom_site_fract_z
_atom_site_occupancy
Ho1 Ho 0.000 0.000 0.000 1
Er1 Er 0.000 0.234 0.250 1
Er2 Er 0.000 0.500 0.250 1
Cu1 Cu 0.208 0.358 0.000 1
```

---

version one wins, 17.6 kJ/mol of atoms ahead of the next structure.

---

Version one
Entry from Alexandria via LeMat-Bulk: HoErCu4 after structural relaxation (PBE).

Results
**Magnetization**: 0.000 μB/atom

Geometry as CIF:
```
data_HoErCu4
_space_group_name_H-M_alt 'I m m 2'
_space_group_IT_number 44
_space_group_name_Hall 'I 2 -2'
_cell_length_a 4.266
_cell_length_b 6.775
_cell_length_c 7.314
_cell_angle_alpha 90.00
_cell_angle_beta 90.00
_cell_angle_gamma 90.00
loop_
_atom_site_label
_atom_site_type_symbol
_atom_site_fract_x
_atom_site_fract_y
_atom_site_fract_z
_atom_site_occupancy
Ho1 Ho 0.000 0.000 0.000 1
Er1 Er 0.000 0.500 0.089 1
Cu1 Cu 0.000 0.198 0.381 1
Cu2 Cu 0.000 0.301 0.710 1
```

---

Version two
Entry from Alexandria via LeMat-Bulk: HoErCu4 after structural relaxation (PBE).

Results
**Magnetization**: 0.000 μB/atom

Geometry as CIF:
```
data_HoErCu4
_space_group_name_H-M_alt 'F -4 3 m'
_space_group_IT_number 216
_space_group_name_Hall 'F -4 2 3'
_cell_length_a 7.403
_cell_length_b 7.403
_cell_length_c 7.403
_cell_angle_alpha 90.00
_cell_angle_beta 90.00
_cell_angle_gamma 90.00
loop_
_atom_site_label
_atom_site_type_symbol
_atom_site_fract_x
_atom_site_fract_y
_atom_site_fract_z
_atom_site_occupancy
Ho1 Ho 0.000 0.000 0.000 1
Er1 Er 0.250 0.250 0.750 1
Cu1 Cu 0.125 0.125 0.375 1
```

---

version one wins, 8.9 kJ/mol of atoms ahead of the next structure.